AcPuTcGe2 | Alexandria via LeMat-Bulk | PBE | optimized geometry; SG = I-4m2 (119); density of states at the Fermi level = 1.965 states/eV/atom; uncorrected energy = -0.58274 Ry per atom
1.0
-2.1360 2.1360 6.3381
2.1360 -2.1360 6.3381
2.1360 2.1360 -6.3381
Ac Pu Tc Ge
1 1 1 2
Direct
0.0000 0.0000 0.0000
0.7500 0.2500 0.5000
0.2500 0.7500 0.5000
0.3970 0.3970 0.0000
0.6030 0.6030 0.0000



ZnIr3Se | Alexandria via LeMat-Bulk | PBE | optimized geometry; SG = Pm-3m (221); density of states at the Fermi level = 1.144 states/eV/atom; uncorrected energy = -0.37343 Ry per atom; E_form (uncorrected) = 1.188 eV per atom; ΔE to the lowest computed polymorph = 0 meV/atom
1.0
4.5777 0.0000 0.0000
0.0000 4.5777 0.0000
0.0000 0.0000 4.5777
Zn Ir Se
1 3 1
Direct
0.0000 0.0000 0.0000
0.0000 0.5000 0.5000
0.5000 0.0000 0.5000
0.5000 0.5000 0.0000
0.5000 0.5000 0.5000



RuPtO | Alexandria via LeMat-Bulk | PBE | optimized geometry; SG = P4/nmm (129); density of states at the Fermi level = 0.536 states/eV/atom; uncorrected energy = -0.50341 Ry per atom; E_form (uncorrected) = -0.091 eV per atom
1.0
3.7065 0.0000 0.0000
0.0000 3.7065 0.0000
0.0000 0.0000 5.9750
Ru Pt O
2 2 2
Direct
0.2500 0.2500 0.1763
0.7500 0.7500 0.8237
0.2500 0.7500 0.5000
0.7500 0.2500 0.5000
0.2500 0.7500 0.0000
0.7500 0.2500 0.0000



Ti2GaSi | Alexandria via LeMat-Bulk | PBE | optimized geometry; SG = Amm2 (38); density of states at the Fermi level = 0.538 states/eV/atom; uncorrected energy = -0.48909 Ry per atom; E_form (uncorrected) = -0.595 eV per atom
1.0
3.6744 0.0000 0.0000
0.0000 1.7960 4.7752
0.0000 -1.7960 4.7752
Ti Ga Si
2 1 1
Direct
0.0000 0.0000 0.0000
0.5000 0.2841 0.2841
0.5000 0.5561 0.5561
0.0000 0.7285 0.7285



Cd5Sn12Pd3 | Alexandria via LeMat-Bulk | PBE | optimized geometry; SG = Ia-3d (230); density of states at the Fermi level = 0.295 states/eV/atom; uncorrected energy = -0.25093 Ry per atom
1.0
-8.2836 8.2836 8.2836
8.2836 -8.2836 8.2836
8.2836 8.2836 -8.2836
Cd Sn Pd
20 48 12
Direct
0.0000 0.0000 0.0000
0.0000 0.0000 0.5000
0.0000 0.5000 0.0000
0.0000 0.5000 0.5000
0.1250 0.7500 0.8750
0.1250 0.8750 0.2500
0.2500 0.1250 0.8750
0.2500 0.6250 0.3750
0.3750 0.2500 0.6250
0.3750 0.6250 0.7500
0.5000 0.0000 0.0000
0.5000 0.0000 0.5000
0.5000 0.5000 0.0000
0.5000 0.5000 0.5000
0.6250 0.3750 0.2500
0.6250 0.7500 0.3750
0.7500 0.3750 0.6250
0.7500 0.8750 0.1250
0.8750 0.1250 0.7500
0.8750 0.2500 0.1250
0.0633 0.6355 0.3957
0.0633 0.9278 0.6676
0.0722 0.2398 0.1355
0.0722 0.3324 0.9367
0.1043 0.7398 0.6676
0.1043 0.8645 0.4367
0.1355 0.0722 0.2398
0.1355 0.5633 0.8957
0.1676 0.2398 0.6043
0.1676 0.4278 0.5633
0.2398 0.1355 0.0722
0.2398 0.6043 0.1676
0.2602 0.3324 0.8957
0.2602 0.4278 0.3645
0.3324 0.8957 0.2602
0.3324 0.9367 0.0722
0.3645 0.2602 0.4278
0.3645 0.6043 0.9367
0.3957 0.0633 0.6355
0.3957 0.8324 0.7602
0.4278 0.3645 0.2602
0.4278 0.5633 0.1676
0.4367 0.1043 0.8645
0.4367 0.8324 0.5722
0.5633 0.1676 0.4278
0.5633 0.8957 0.1355
0.5722 0.4367 0.8324
0.5722 0.6355 0.7398
0.6043 0.1676 0.2398
0.6043 0.9367 0.3645
0.6355 0.3957 0.0633
0.6355 0.7398 0.5722
0.6676 0.0633 0.9278
0.6676 0.1043 0.7398
0.7398 0.5722 0.6355
0.7398 0.6676 0.1043
0.7602 0.3957 0.8324
0.7602 0.8645 0.9278
0.8324 0.5722 0.4367
0.8324 0.7602 0.3957
0.8645 0.4367 0.1043
0.8645 0.9278 0.7602
0.8957 0.1355 0.5633
0.8957 0.2602 0.3324
0.9278 0.6676 0.0633
0.9278 0.7602 0.8645
0.9367 0.0722 0.3324
0.9367 0.3645 0.6043
0.1250 0.2500 0.3750
0.1250 0.3750 0.7500
0.2500 0.3750 0.1250
0.2500 0.8750 0.6250
0.3750 0.1250 0.2500
0.3750 0.7500 0.1250
0.6250 0.2500 0.8750
0.6250 0.8750 0.7500
0.7500 0.1250 0.3750
0.7500 0.6250 0.8750
0.8750 0.6250 0.2500
0.8750 0.7500 0.6250



K2IrS3 | Alexandria via LeMat-Bulk | PBE | optimized geometry; SG = C2/c (15); density of states at the Fermi level = 0.618 states/eV/atom; uncorrected energy = -0.32313 Ry per atom; E_form (uncorrected) = -0.490 eV per atom
1.0
4.6928 -6.0907 0.0000
4.6928 6.0907 0.0000
-3.8262 0.0000 4.9644
K Ir S
4 2 6
Direct
0.0674 0.9326 0.7500
0.2384 0.7616 0.2500
0.7616 0.2384 0.7500
0.9326 0.0674 0.2500
0.4219 0.5781 0.7500
0.5781 0.4219 0.2500
0.0000 0.5000 0.5000
0.2787 0.3868 0.9122
0.3868 0.2787 0.4122
0.5000 0.0000 0.0000
0.6132 0.7213 0.5878
0.7213 0.6132 0.0878



TbEuYLu | Alexandria via LeMat-Bulk | PBE | optimized geometry; SG = F-43m (216); density of states at the Fermi level = 1.837 states/eV/atom; uncorrected energy = -0.46387 Ry per atom
1.0
0.0000 4.0479 4.0479
4.0479 0.0000 4.0479
4.0479 4.0479 0.0000
Tb Eu Y Lu
1 1 1 1
Direct
0.0000 0.0000 0.0000
0.7500 0.7500 0.7500
0.5000 0.5000 0.5000
0.2500 0.2500 0.2500



CdIn8 | Alexandria via LeMat-Bulk | PBE | optimized geometry; SG = I4/mmm (139); density of states at the Fermi level = 0.298 states/eV/atom; uncorrected energy = -0.18471 Ry per atom
1.0
-5.1500 5.1500 2.2599
5.1500 -5.1500 2.2599
5.1500 5.1500 -2.2599
Cd In
1 8
Direct
0.0000 0.0000 0.0000
0.0000 0.3326 0.3326
0.0000 0.6674 0.6674
0.3326 0.0000 0.3326
0.3353 0.3353 0.6706
0.3353 0.6647 0.0000
0.6647 0.3353 0.0000
0.6647 0.6647 0.3294
0.6674 0.0000 0.6674



Sm2NiP3Pt12 | Alexandria via LeMat-Bulk | PBE | optimized geometry; SG = R-3m (166); density of states at the Fermi level = 0.513 states/eV/atom; uncorrected energy = -0.45373 Ry per atom
1.0
4.0880 2.3602 6.0288
-4.0880 2.3602 6.0288
0.0000 -4.7204 6.0288
Sm Ni P Pt
2 1 3 12
Direct
0.1174 0.1174 0.1174
0.8826 0.8826 0.8826
0.5000 0.5000 0.5000
0.0000 0.5000 0.5000
0.5000 0.0000 0.5000
0.5000 0.5000 0.0000
0.1328 0.6213 0.6213
0.1514 0.1514 0.6054
0.1514 0.6054 0.1514
0.3787 0.3787 0.8672
0.3787 0.8672 0.3787
0.3946 0.8486 0.8486
0.6054 0.1514 0.1514
0.6213 0.1328 0.6213
0.6213 0.6213 0.1328
0.8486 0.3946 0.8486
0.8486 0.8486 0.3946
0.8672 0.3787 0.3787



LuAlIr | Alexandria via LeMat-Bulk | PBE | optimized geometry; SG = I4mm (107); density of states at the Fermi level = 0.393 states/eV/atom; uncorrected energy = -0.47491 Ry per atom
1.0
-1.5627 1.5627 5.5678
1.5627 -1.5627 5.5678
1.5627 1.5627 -5.5678
Lu Al Ir
1 1 1
Direct
0.0000 0.0000 0.0000
0.7076 0.7076 0.0000
0.3294 0.3294 0.0000



MgSe2N2 | Alexandria via LeMat-Bulk | PBE | optimized geometry; SG = P4/mmm (123); density of states at the Fermi level = 0.160 states/eV/atom; uncorrected energy = -0.28129 Ry per atom; E_form (uncorrected) = 1.216 eV per atom; ΔE to the lowest computed polymorph = 207 meV/atom
1.0
4.3168 0.0000 0.0000
0.0000 4.3168 0.0000
0.0000 0.0000 4.0515
Mg Se N
1 2 2
Direct
0.0000 0.0000 0.0000
0.0000 0.5000 0.5000
0.5000 0.0000 0.5000
0.5000 0.5000 0.0000
0.5000 0.5000 0.5000



CeTeP2Rh5 | Alexandria via LeMat-Bulk | PBE | optimized geometry; SG = P4/mmm (123); density of states at the Fermi level = 0.845 states/eV/atom; uncorrected energy = -0.51237 Ry per atom; E_form (uncorrected) = -0.676 eV per atom
1.0
4.0056 0.0000 0.0000
0.0000 4.0056 0.0000
0.0000 0.0000 10.4647
Ce Te P Rh
1 1 2 5
Direct
0.0000 0.0000 0.0000
0.0000 0.0000 0.5000
0.5000 0.5000 0.2183
0.5000 0.5000 0.7817
0.0000 0.5000 0.3260
0.0000 0.5000 0.6740
0.5000 0.0000 0.3260
0.5000 0.0000 0.6740
0.5000 0.5000 0.0000